## Ag2PbAu2 (PBE)

Data for crystalline Ag2PbAu2 at its relaxed geometry.

Results
The formation energy comes out at 0.02 eV/f.u. As for the density of states at the Fermi level: 3.62 states/eV per cell. The value obtained for the final energy is -15.9 eV per formula unit. The relative energy among the computed polymorphs comes out at 0.3 kJ/mol of atoms. As for the crystal system: tetragonal.

Lattice parameters (Å, degrees): 8.2334 8.2334 3.0556 90.00 90.00 90.00
Closest atoms and distances in Å follow each position.
Fractional positions:
Pb 0.5000 0.5000 0.0000  2 Pb 3.06, 4 Ag 3.26, 8 Au 3.41
Pb 0.0000 0.0000 0.0000  2 Pb 3.06, 4 Ag 3.26, 8 Au 3.41
Au 0.8279 0.3279 0.5000  6 Ag 2.83-2.90, 2 Au 3.06
Au 0.6721 0.8279 0.5000  6 Ag 2.83-2.90, 2 Au 3.06
Au 0.3279 0.1721 0.5000  6 Ag 2.83-2.90, 2 Au 3.06
Au 0.1721 0.6721 0.5000  6 Ag 2.83-2.90, 2 Au 3.06
Ag 0.1234 0.3766 0.0000  6 Au 2.83-2.90, 3 Ag 2.87-3.06
Ag 0.3766 0.8766 0.0000  6 Au 2.83-2.90, 3 Ag 2.87-3.06
Ag 0.8766 0.6234 0.0000  6 Au 2.83-2.90, 3 Ag 2.87-3.06
Ag 0.6234 0.1234 0.0000  6 Au 2.83-2.90, 3 Ag 2.87-3.06


## Ag2PbAu (PBE)

Data for crystalline Ag2PbAu at its relaxed geometry.

Results
The formation energy comes out at 0.10 eV/f.u. As for the density of states at the Fermi level: 1.08 states/eV per cell. The value obtained for the final energy is -12.6 eV per formula unit. As for the crystal system: tetragonal.

Lattice parameters (Å, degrees): 3.5627 3.5621 6.5929 90.00 90.00 90.00
Closest atoms and distances in Å follow each position.
Fractional positions:
Au 0.0000 0.0000 0.4728  5 Ag 2.91, 4 Pb 3.09
Pb 0.5000 0.5000 0.7439  4 Au 3.09, 6 Ag 3.16-3.34
Ag 0.5000 0.5000 0.2512  4 Ag 2.90, 4 Au 2.91, 1 Pb 3.25
Ag 0.0000 0.0000 0.0321  4 Ag 2.90, 1 Au 2.91, 4 Pb 3.16


## Ag6PbAu3 (PBE)

Data for crystalline Ag6PbAu3 at its relaxed geometry.

Results
The formation energy comes out at 0.39 eV/f.u. As for the density of states at the Fermi level: 8.11 states/eV per cell. The value obtained for the final energy is -30.3 eV per formula unit. As for the crystal system: orthorhombic.

Lattice parameters (Å, degrees): 5.5457 9.7505 9.7505 131.63 90.00 90.00
Closest atoms and distances in Å follow each position.
Fractional positions:
Ag 0.2357 0.6709 0.3291  4 Au 2.87-3.20, 6 Ag 2.94-3.07
Ag 0.7813 0.0078 0.9922  6 Ag 2.79-3.05, 4 Au 2.91-2.95, 1 Pb 2.94
Ag 0.0755 0.3511 0.2819  4 Au 2.80-2.96, 6 Ag 2.88-3.05
Ag 0.3244 0.0792 0.5432  3 Au 2.81-2.94, 5 Ag 2.94-3.07, 2 Pb 2.96-3.06
Ag 0.8244 0.5432 0.0792  3 Au 2.81-2.94, 5 Ag 2.94-3.07, 2 Pb 2.96-3.06
Ag 0.7357 0.3291 0.6709  4 Au 2.87-3.20, 6 Ag 2.94-3.07
Ag 0.5755 0.2819 0.3511  4 Au 2.80-2.96, 6 Ag 2.88-3.05
Ag 0.2813 0.9922 0.0078  6 Ag 2.79-3.05, 4 Au 2.91-2.95, 1 Pb 2.94
Ag 0.3244 0.4568 0.9208  3 Au 2.81-2.94, 5 Ag 2.94-3.07, 2 Pb 2.96-3.06
Ag 0.5755 0.6489 0.7181  4 Au 2.80-2.96, 6 Ag 2.88-3.05
Ag 0.0755 0.7181 0.6489  4 Au 2.80-2.96, 6 Ag 2.88-3.05
Ag 0.8244 0.9208 0.4568  3 Au 2.81-2.94, 5 Ag 2.94-3.07, 2 Pb 2.96-3.06
Pb 0.9945 0.1589 0.8411  5 Ag 2.94-3.06, 4 Au 3.17-3.26
Pb 0.4945 0.8411 0.1589  5 Ag 2.94-3.06, 4 Au 3.17-3.26
Au 0.7034 0.6021 0.3979  7 Ag 2.80-2.93, 2 Au 2.82
Au 0.4853 0.9350 0.6982  7 Ag 2.81-3.03, 2 Au 2.82-2.93
Au 0.4853 0.3018 0.0650  7 Ag 2.81-3.03, 2 Au 2.82-2.93
Au 0.9853 0.0650 0.3018  7 Ag 2.81-3.03, 2 Au 2.82-2.93
Au 0.2034 0.3979 0.6021  7 Ag 2.80-2.93, 2 Au 2.82
Au 0.9853 0.6982 0.9350  7 Ag 2.81-3.03, 2 Au 2.82-2.93